(1)
Material: BaCa2CdAu
Method: DFT, PBE-GGA
State: relaxed

Summary:
density of states at the Fermi level	4.1	states/eV/f.u.
energy of formation	-294	meV/atom

a b c (Å): 5.7433 5.7433 5.5107
angles (deg): 90.00 90.00 90.00
Closest atoms and distances in Å follow each position.
Element x y z (fractional)
1 Cd 0.0000 0.0000 0.5000  2 Au 2.76
2 Ca 0.5000 0.0000 0.0000  2 Au 2.87
3 Ca 0.0000 0.5000 0.0000  2 Au 2.87
4 Au 0.0000 0.0000 0.0000  2 Cd 2.76, 4 Ca 2.87
5 Ba 0.5000 0.5000 0.5000  8 Ca 3.98, 4 Cd 4.06



(2)
Material: BaCaCdAu2
Method: DFT, PBE-GGA
State: relaxed

Summary:
density of states at the Fermi level	3.0	states/eV/f.u.
energy of formation	-627	meV/atom

a b c (Å): 4.5722 4.5722 7.5878
angles (deg): 107.54 107.54 90.00
Closest atoms and distances in Å follow each position.
Element x y z (fractional)
1 Au 0.3948 0.3948 0.7896  1 Au 2.89, 2 Cd 3.03, 2 Ca 3.03
2 Cd 0.2500 0.7500 0.5000  4 Au 3.03, 4 Ca 3.23
3 Ba 0.0000 0.0000 0.0000  8 Au 3.54
4 Au 0.6052 0.6052 0.2104  1 Au 2.89, 2 Cd 3.03, 2 Ca 3.03
5 Ca 0.7500 0.2500 0.5000  4 Au 3.03, 4 Cd 3.23



(3)
Material: BaCaCd2Au2
Method: DFT, PBE-GGA
State: relaxed

Summary:
density of states at the Fermi level	3.4	states/eV/f.u.
energy of formation	-581	meV/atom

a b c (Å): 4.9449 4.9449 7.8847
angles (deg): 90.00 90.00 120.00
Closest atoms and distances in Å follow each position.
Element x y z (fractional)
1 Cd 0.3333 0.6667 0.2989  4 Au 2.85-3.18
2 Au 0.3333 0.6667 0.7023  4 Cd 2.85-3.18
3 Ba 0.0000 0.0000 0.0000  6 Au 3.70, 6 Cd 3.70, 2 Ca 3.94
4 Au 0.6667 0.3333 0.2977  4 Cd 2.85-3.18
5 Ca 0.0000 0.0000 0.5000  6 Cd 3.27, 6 Au 3.27
6 Cd 0.6667 0.3333 0.7011  4 Au 2.85-3.18



(4)
Material: BaCa2CdAu4
Method: DFT, PBE-GGA
State: relaxed

Summary:
density of states at the Fermi level	2.8	states/eV/f.u.
energy of formation	-648	meV/atom

a b c (Å): 5.0742 5.0742 10.0904
angles (deg): 75.44 75.44 60.00
Closest atoms and distances in Å follow each position.
Element x y z (fractional)
1 Au 0.1210 0.1210 0.6369  4 Ca 2.97-3.10, 3 Cd 3.21
2 Au 0.5998 0.5998 0.2006  1 Cd 2.89, 3 Ca 3.13
3 Ca 0.2281 0.2281 0.3156  7 Au 2.97-3.13
4 Ba 0.0000 0.0000 0.0000  8 Au 3.51
5 Ca 0.7719 0.7719 0.6844  7 Au 2.97-3.13
6 Cd 0.5000 0.5000 0.5000  8 Au 2.89-3.21
7 Au 0.4002 0.4002 0.7994  1 Cd 2.89, 3 Ca 3.13
8 Au 0.8790 0.8790 0.3631  4 Ca 2.97-3.10, 3 Cd 3.21



(5)
Material: BaCa2CeAu4
Method: DFT, PBE-GGA
State: relaxed

Summary:
density of states at the Fermi level	10.3	states/eV/f.u.
energy of formation	-705	meV/atom

a b c (Å): 5.1954 5.1954 9.8444
angles (deg): 74.70 74.70 60.00
Closest atoms and distances in Å follow each position.
Element x y z (fractional)
1 Au 0.1299 0.1299 0.6102  3 Ce 3.17, 4 Ca 3.20-3.21
2 Ca 0.2437 0.2437 0.2690  7 Au 3.12-3.21
3 Ba 0.0000 0.0000 0.0000  8 Au 3.43-3.65
4 Ca 0.7563 0.7563 0.7310  7 Au 3.12-3.21
5 Au 0.8701 0.8701 0.3898  3 Ce 3.17, 4 Ca 3.20-3.21
6 Ce 0.5000 0.5000 0.5000  8 Au 3.02-3.17
7 Au 0.3925 0.3925 0.8224  1 Ce 3.02, 3 Ca 3.12
8 Au 0.6075 0.6075 0.1776  1 Ce 3.02, 3 Ca 3.12



(6)
Material: CsBaCa2Au
Method: DFT, PBE-GGA
State: relaxed

Summary:
density of states at the Fermi level	5.1	states/eV/f.u.
energy of formation	-232	meV/atom

a b c (Å): 6.0687 6.0687 6.5245
angles (deg): 90.00 90.00 90.00
Closest atoms and distances in Å follow each position.
Element x y z (fractional)
1 Ca 0.0000 0.5000 0.0000  2 Au 3.03
2 Cs 0.5000 0.5000 0.5000  4 Ba 4.29, 8 Ca 4.46
3 Ba 0.0000 0.0000 0.5000  2 Au 3.26
4 Au 0.0000 0.0000 0.0000  4 Ca 3.03, 2 Ba 3.26
5 Ca 0.5000 0.0000 0.0000  2 Au 3.03



(7)
Material: BaCa2DyAu4
Method: DFT, PBE-GGA
State: relaxed

Summary:
density of states at the Fermi level	5.7	states/eV/f.u.
energy of formation	-764	meV/atom

a b c (Å): 5.1372 5.1372 9.8391
angles (deg): 74.87 74.87 60.00
Closest atoms and distances in Å follow each position.
Element x y z (fractional)
1 Au 0.1322 0.1322 0.6034  4 Ca 3.08-3.18, 3 Dy 3.12
2 Ba 0.0000 0.0000 0.0000  8 Au 3.44-3.72
3 Ca 0.7583 0.7583 0.7252  7 Au 3.08-3.18
4 Au 0.3954 0.3954 0.8139  1 Dy 2.94, 3 Ca 3.08
5 Ca 0.2417 0.2417 0.2748  7 Au 3.08-3.18
6 Au 0.6046 0.6046 0.1861  1 Dy 2.94, 3 Ca 3.08
7 Dy 0.5000 0.5000 0.5000  8 Au 2.94-3.12
8 Au 0.8678 0.8678 0.3966  4 Ca 3.08-3.18, 3 Dy 3.12



(8)
Material: BaCa2ErAu4
Method: DFT, PBE-GGA
State: relaxed

Summary:
density of states at the Fermi level	5.6	states/eV/f.u.
energy of formation	-765	meV/atom

a b c (Å): 5.1141 5.1141 9.8778
angles (deg): 75.00 75.00 60.00
Closest atoms and distances in Å follow each position.
Element x y z (fractional)
1 Au 0.3965 0.3965 0.8105  1 Er 2.93, 3 Ca 3.06
2 Er 0.5000 0.5000 0.5000  8 Au 2.93-3.10
3 Au 0.6035 0.6035 0.1895  1 Er 2.93, 3 Ca 3.06
4 Ca 0.2412 0.2412 0.2763  7 Au 3.06-3.17
5 Ca 0.7588 0.7588 0.7237  7 Au 3.06-3.17
6 Ba 0.0000 0.0000 0.0000  8 Au 3.45-3.76
7 Au 0.1330 0.1330 0.6011  4 Ca 3.06-3.17, 3 Er 3.10
8 Au 0.8670 0.8670 0.3989  4 Ca 3.06-3.17, 3 Er 3.10



(9)
Material: BaCaGa2Au2
Method: DFT, PBE-GGA
State: relaxed

Summary:
density of states at the Fermi level	5.8	states/eV/f.u.
energy of formation	-657	meV/atom

a b c (Å): 4.6558 4.6558 8.1016
angles (deg): 90.00 90.00 120.00
Closest atoms and distances in Å follow each position.
Element x y z (fractional)
1 Ca 0.0000 0.0000 0.5000  6 Au 3.14, 6 Ga 3.14
2 Au 0.3333 0.6667 0.7002  3 Ga 2.69
3 Ba 0.0000 0.0000 0.0000  6 Ga 3.62, 6 Au 3.62, 2 Ca 4.05
4 Ga 0.3333 0.6667 0.2994  3 Au 2.69
5 Ga 0.6667 0.3333 0.7006  3 Au 2.69
6 Au 0.6667 0.3333 0.2998  3 Ga 2.69



(10)
Material: Ba2CaGa3Au12
Method: DFT, PBE-GGA
State: relaxed

Summary:
density of states at the Fermi level	5.1	states/eV/f.u.
energy of formation	-217	meV/atom

a b c (Å): 8.5858 8.5858 8.5858
angles (deg): 64.04 64.04 64.04
Closest atoms and distances in Å follow each position.
Element x y z (fractional)
1 Au 0.1341 0.1341 0.6148  1 Ga 2.60, 1 Ca 2.84
2 Au 0.3250 0.8559 0.3250  2 Ga 2.55, 2 Au 2.79
3 Ca 0.0000 0.0000 0.0000  6 Au 2.84
4 Ga 0.0000 0.0000 0.5000  6 Au 2.55-2.60
5 Ba 0.6063 0.6063 0.6063  9 Au 3.24-3.56
6 Au 0.3852 0.8659 0.8659  1 Ga 2.60, 1 Ca 2.84
7 Au 0.8659 0.8659 0.3852  1 Ga 2.60, 1 Ca 2.84
8 Ga 0.0000 0.5000 0.0000  6 Au 2.55-2.60
9 Au 0.8659 0.3852 0.8659  1 Ga 2.60, 1 Ca 2.84
10 Au 0.6750 0.1441 0.6750  2 Ga 2.55, 2 Au 2.79
11 Au 0.8559 0.3250 0.3250  2 Ga 2.55, 2 Au 2.79
12 Au 0.6750 0.6750 0.1441  2 Ga 2.55, 2 Au 2.79
13 Au 0.6148 0.1341 0.1341  1 Ga 2.60, 1 Ca 2.84
14 Ga 0.5000 0.0000 0.0000  6 Au 2.55-2.60
15 Au 0.1341 0.6148 0.1341  1 Ga 2.60, 1 Ca 2.84
16 Au 0.1441 0.6750 0.6750  2 Ga 2.55, 2 Au 2.79
17 Au 0.3250 0.3250 0.8559  2 Ga 2.55, 2 Au 2.79
18 Ba 0.3937 0.3937 0.3937  9 Au 3.24-3.56



(11)
Material: BaCaGe2Au2
Method: DFT, PBE-GGA
State: relaxed

Summary:
density of states at the Fermi level	3.9	states/eV/f.u.
energy of formation	-659	meV/atom

a b c (Å): 4.6384 4.6384 8.0368
angles (deg): 90.00 90.00 120.00
Closest atoms and distances in Å follow each position.
Element x y z (fractional)
1 Au 0.3333 0.6667 0.3044  3 Ge 2.68
2 Ca 0.0000 0.0000 0.5000  6 Au 3.11, 6 Ge 3.15
3 Ge 0.3333 0.6667 0.7062  3 Au 2.68
4 Ba 0.0000 0.0000 0.0000  6 Ge 3.57, 6 Au 3.63
5 Au 0.6667 0.3333 0.6956  3 Ge 2.68
6 Ge 0.6667 0.3333 0.2938  3 Au 2.68



(12)
Material: BaCaGeAu
Method: DFT, PBE-GGA
State: relaxed

Summary:
density of states at the Fermi level	3.5	states/eV/f.u.
energy of formation	-545	meV/atom

a b c (Å): 5.4673 5.4673 5.4673
angles (deg): 60.00 60.00 60.00
Closest atoms and distances in Å follow each position.
Element x y z (fractional)
1 Ca 0.5000 0.5000 0.5000  4 Ge 3.35, 4 Au 3.35
2 Ge 0.2500 0.2500 0.2500  4 Ba 3.35, 4 Ca 3.35
3 Ba 0.0000 0.0000 0.0000  4 Au 3.35, 4 Ge 3.35
4 Au 0.7500 0.7500 0.7500  4 Ba 3.35, 4 Ca 3.35



(13)
Material: BaCaH6Au2
Method: DFT, PBE-GGA
State: relaxed

a b c (Å): 6.8936 6.8936 6.7288
angles (deg): 97.82 97.82 101.29
Closest atoms and distances in Å follow each position.
Element x y z (fractional)
1 H 0.4545 0.6728 0.0876  1 Au 2.14, 2 Ca 2.26-2.30
2 H 0.0848 0.5428 0.7099  1 Au 1.67
3 H 0.6728 0.4545 0.5876  1 Au 2.14, 2 Ca 2.26-2.30
4 Au 0.3286 0.0835 0.7229  2 H 1.67
5 H 0.3272 0.5455 0.4124  1 Au 2.14, 2 Ca 2.26-2.30
6 H 0.8079 0.7725 0.3863  1 Au 1.67
7 Ca 0.4328 0.5672 0.7500  6 H 2.26-2.35
8 H 0.4572 0.9152 0.7901  1 Au 1.67
9 H 0.5455 0.3272 0.9124  1 Au 2.14, 2 Ca 2.26-2.30
10 H 0.2275 0.1921 0.1137  1 Au 1.67
11 H 0.1921 0.2275 0.6137  1 Au 1.67
12 H 0.9152 0.4572 0.2901  1 Au 1.67
13 Ba 0.1715 0.8285 0.2500  6 H 2.69-2.88
14 Ca 0.5672 0.4328 0.2500  6 H 2.26-2.35
15 Ba 0.8285 0.1715 0.7500  6 H 2.69-2.88
16 Au 0.0835 0.3286 0.2229  2 H 1.67
17 H 0.5428 0.0848 0.2099  1 Au 1.67
18 H 0.7725 0.8079 0.8863  1 Au 1.67
19 Au 0.6714 0.9165 0.2771  2 H 1.67
20 Au 0.9165 0.6714 0.7771  2 H 1.67



(14)
Material: Ba2CaHAu
Method: DFT, PBE-GGA
State: relaxed

Summary:
density of states at the Fermi level	2.6	states/eV/f.u.

a b c (Å): 5.7318 5.7318 4.6547
angles (deg): 90.00 90.00 90.00
Closest atoms and distances in Å follow each position.
Element x y z (fractional)
1 H 0.0000 0.0000 0.0000  2 Ca 2.33
2 Ba 0.5000 0.0000 0.0000  2 H 2.87
3 Ba 0.0000 0.5000 0.0000  2 H 2.87
4 Au 0.5000 0.5000 0.5000  8 Ba 3.69, 4 Ca 4.05
5 Ca 0.0000 0.0000 0.5000  2 H 2.33



(15)
Material: BaCa2Hg2Au2
Method: DFT, PBE-GGA
State: relaxed

Summary:
density of states at the Fermi level	4.0	states/eV/f.u.
energy of formation	-525	meV/atom

a b c (Å): 4.9936 4.9936 10.1325
angles (deg): 75.73 75.73 60.00
Closest atoms and distances in Å follow each position.
Element x y z (fractional)
1 Au 0.5863 0.5863 0.2411  3 Hg 2.88, 3 Ca 3.18
2 Au 0.4137 0.4137 0.7589  3 Hg 2.88, 3 Ca 3.18
3 Hg 0.2498 0.2498 0.2506  3 Au 2.88, 3 Ca 3.15
4 Ca 0.8733 0.8733 0.3800  3 Hg 3.15, 3 Au 3.18
5 Hg 0.7502 0.7502 0.7494  3 Au 2.88, 3 Ca 3.15
6 Ba 0.0000 0.0000 0.0000  2 Ca 3.69, 6 Au 3.71, 6 Hg 3.77
7 Ca 0.1267 0.1267 0.6200  3 Hg 3.15, 3 Au 3.18



(16)
Material: BaCaIn2Au2
Method: DFT, PBE-GGA
State: relaxed

Summary:
density of states at the Fermi level	5.1	states/eV/f.u.
energy of formation	-626	meV/atom

a b c (Å): 4.9141 4.9141 8.0586
angles (deg): 90.00 90.00 120.00
Closest atoms and distances in Å follow each position.
Element x y z (fractional)
1 In 0.3333 0.6667 0.3000  3 Au 2.84
2 Au 0.3333 0.6667 0.6953  3 In 2.84
3 Ca 0.0000 0.0000 0.5000  6 Au 3.24, 6 In 3.26
4 In 0.6667 0.3333 0.7000  3 Au 2.84
5 Au 0.6667 0.3333 0.3047  3 In 2.84
6 Ba 0.0000 0.0000 0.0000  6 In 3.73, 6 Au 3.75, 2 Ca 4.03



(17)
Material: Ba2CaInAu6
Method: DFT, PBE-GGA
State: relaxed

Summary:
density of states at the Fermi level	3.5	states/eV/f.u.
energy of formation	-311	meV/atom

a b c (Å): 7.7361 7.7361 7.7361
angles (deg): 60.00 60.00 90.00
Closest atoms and distances in Å follow each position.
Element x y z (fractional)
1 Au 0.2455 0.2455 0.0000  1 In 2.69, 1 Ca 2.78
2 Ba 0.2500 0.7500 0.5000  12 Au 3.87
3 Au 0.2455 0.2455 0.5090  1 In 2.69, 1 Ca 2.78
4 Au 0.7545 0.2455 0.0000  1 In 2.69, 1 Ca 2.78
5 Au 0.2455 0.7545 0.0000  1 In 2.69, 1 Ca 2.78
6 Au 0.7545 0.7545 0.4910  1 In 2.69, 1 Ca 2.78
7 Ca 0.5000 0.5000 0.0000  6 Au 2.78
8 In 0.0000 0.0000 0.0000  6 Au 2.69
9 Ba 0.7500 0.2500 0.5000  12 Au 3.87
10 Au 0.7545 0.7545 0.0000  1 In 2.69, 1 Ca 2.78



(18)
Material: KBa2CaAu
Method: DFT, PBE-GGA
State: relaxed

Summary:
density of states at the Fermi level	4.4	states/eV/f.u.
energy of formation	-289	meV/atom
E above lowest polymorph	0	meV/atom

a b c (Å): 6.5659 6.5659 5.9879
angles (deg): 90.00 90.00 90.00
Closest atoms and distances in Å follow each position.
Element x y z (fractional)
1 Ca 0.0000 0.0000 0.5000  2 Au 2.99
2 Ba 0.0000 0.5000 0.0000  2 Au 3.28
3 Au 0.0000 0.0000 0.0000  2 Ca 2.99, 4 Ba 3.28
4 K 0.5000 0.5000 0.5000  8 Ba 4.44, 4 Ca 4.64
5 Ba 0.5000 0.0000 0.0000  2 Au 3.28



(19)
Material: KBaCa2Au
Method: DFT, PBE-GGA
State: relaxed

Summary:
density of states at the Fermi level	3.4	states/eV/f.u.
energy of formation	-185	meV/atom
E above lowest polymorph	99	meV/atom

a b c (Å): 5.9072 5.9072 6.4771
angles (deg): 90.00 90.00 90.00
Closest atoms and distances in Å follow each position.
Element x y z (fractional)
1 Ca 0.0000 0.5000 0.0000  2 Au 2.95
2 Au 0.0000 0.0000 0.0000  4 Ca 2.95, 2 K 3.24
3 Ba 0.5000 0.5000 0.5000  4 K 4.18, 8 Ca 4.38
4 K 0.0000 0.0000 0.5000  2 Au 3.24
5 Ca 0.5000 0.0000 0.0000  2 Au 2.95



(20)
Material: KBa2CaAu
Method: DFT, PBE-GGA
State: relaxed

Summary:
density of states at the Fermi level	4.2	states/eV/f.u.
energy of formation	-160	meV/atom
E above lowest polymorph	130	meV/atom

a b c (Å): 6.4451 6.4451 6.4267
angles (deg): 90.00 90.00 90.00
Closest atoms and distances in Å follow each position.
Element x y z (fractional)
1 Ca 0.5000 0.5000 0.5000  8 Ba 4.55, 4 K 4.56
2 K 0.0000 0.0000 0.5000  2 Au 3.21
3 Ba 0.0000 0.5000 0.0000  2 Au 3.22
4 Ba 0.5000 0.0000 0.0000  2 Au 3.22
5 Au 0.0000 0.0000 0.0000  2 K 3.21, 4 Ba 3.22



Number 1: size of the total moment 0.00 μB per formula unit, calculated total energy -11.6 eV for the cell shown. Number 2: size of the total moment 0.00 μB per formula unit, calculated total energy -14.5 eV for the cell shown. Number 3: size of the total moment 0.00 μB per formula unit, calculated total energy -15.8 eV for the cell shown. Number 4: size of the total moment 0.00 μB per formula unit, calculated total energy -25.1 eV for the cell shown. Number 5: size of the total moment 1.03 μB per formula unit, calculated total energy -30.6 eV for the cell shown. Number 6: size of the total moment 0.00 μB per formula unit, calculated total energy -11.2 eV for the cell shown. Number 7: size of the total moment 0.00 μB per formula unit, calculated total energy -29.7 eV for the cell shown. Number 8: size of the total moment 0.00 μB per formula unit, calculated total energy -29.7 eV for the cell shown. Number 9: size of the total moment 0.00 μB per formula unit, calculated total energy -20.5 eV for the cell shown. Number 10: size of the total moment 0.00 μB per formula unit, calculated total energy -58.2 eV for the cell shown. Number 11: size of the total moment 0.00 μB per formula unit, calculated total energy -23.7 eV for the cell shown. Number 12: size of the total moment 0.00 μB per formula unit, calculated total energy -14.0 eV for the cell shown. Number 13: size of the total moment 0.00 μB per formula unit, calculated total energy -67.9 eV for the cell shown. Number 14: size of the total moment 0.00 μB per formula unit, calculated total energy -14.0 eV for the cell shown. Number 15: size of the total moment 0.00 μB per formula unit, calculated total energy -16.8 eV for the cell shown. Number 16: size of the total moment 0.00 μB per formula unit, calculated total energy -19.7 eV for the cell shown. Number 17: size of the total moment 0.00 μB per formula unit, calculated total energy -31.4 eV for the cell shown. Number 18: size of the total moment 0.00 μB per formula unit, calculated total energy -11.7 eV for the cell shown. Number 19: size of the total moment 0.00 μB per formula unit, calculated total energy -11.2 eV for the cell shown. Number 20: size of the total moment 0.00 μB per formula unit, calculated total energy -11.0 eV for the cell shown.